# 1
Mg2GaGe2Rh5: optimized geometry, GGA-PBE.

The structure in POSCAR format:
```
Mg2GaGe2Rh5
1.0
3.370 0.000 0.000
0.000 9.629 0.000
0.000 0.000 9.629
Ge Ga Mg Rh
4 2 4 10
Direct
0.000 0.369 0.131 Ge
0.000 0.131 0.631 Ge
0.000 0.631 0.869 Ge
0.000 0.869 0.369 Ge
0.000 0.500 0.500 Ga
0.000 0.000 0.000 Ga
0.000 0.170 0.330 Mg
0.000 0.330 0.830 Mg
0.000 0.830 0.670 Mg
0.000 0.670 0.170 Mg
0.500 0.572 0.698 Rh
0.500 0.000 0.500 Rh
0.500 0.428 0.302 Rh
0.500 0.928 0.198 Rh
0.500 0.302 0.572 Rh
0.500 0.198 0.072 Rh
0.500 0.802 0.928 Rh
0.500 0.500 0.000 Rh
0.500 0.698 0.428 Rh
0.500 0.072 0.802 Rh
```

- Energy of formation from the pure elements: -0.561 eV/atom
- SG: No. 127

***

# 2
Mg2Ga2GeRh5: optimized geometry, GGA-PBE.

The structure in POSCAR format:
```
Mg2Ga2GeRh5
1.0
3.154 0.000 0.000
0.000 9.954 0.000
0.000 0.000 9.954
Rh Ge Mg Ga
10 2 4 4
Direct
0.500 0.812 0.923 Rh
0.500 0.923 0.188 Rh
0.500 0.000 0.500 Rh
0.500 0.500 0.000 Rh
0.500 0.077 0.812 Rh
0.500 0.423 0.312 Rh
0.500 0.188 0.077 Rh
0.500 0.577 0.688 Rh
0.500 0.688 0.423 Rh
0.500 0.312 0.577 Rh
0.000 0.000 0.000 Ge
0.000 0.500 0.500 Ge
0.000 0.332 0.832 Mg
0.000 0.168 0.332 Mg
0.000 0.668 0.168 Mg
0.000 0.832 0.668 Mg
0.000 0.868 0.368 Ga
0.000 0.632 0.868 Ga
0.000 0.368 0.132 Ga
0.000 0.132 0.632 Ga
```

- Energy of formation from the pure elements: -0.538 eV/atom
- SG: No. 127

***

# 3
MgGa2GeS6: optimized geometry, GGA-PBE.

The structure in POSCAR format:
```
MgGa2GeS6
1.0
-0.384 -4.240 -4.968
-4.566 -6.521 3.135
-6.990 2.413 -4.302
Mg S Ga Ge
2 12 4 2
Direct
0.250 0.894 0.106 Mg
0.750 0.106 0.894 Mg
0.482 0.544 0.714 S
0.583 0.119 0.637 S
0.917 0.363 0.881 S
0.018 0.286 0.456 S
0.083 0.637 0.119 S
0.417 0.881 0.363 S
0.852 0.045 0.189 S
0.518 0.456 0.286 S
0.148 0.955 0.811 S
0.982 0.714 0.544 S
0.648 0.811 0.955 S
0.352 0.189 0.045 S
0.207 0.405 0.256 Ga
0.707 0.256 0.405 Ga
0.293 0.744 0.595 Ga
0.793 0.595 0.744 Ga
0.750 0.809 0.191 Ge
0.250 0.191 0.809 Ge
```

- SG: No. 15
- Raw formation energy: -0.606 eV/atom

***

We obtain spin magnetization values of 0.00; 0.00; 0.00 μB per formula unit for the records listed above, in that order.